# DyHoV2O8, optimized geometry, DFT PBE with a Hubbard U
# **Calculated density**: 5.6 Mg/m³
# **DOS(E_F)**: 0.000 states/eV per atom
# **Total DFT energy (no corrections)**: -8.058 eV/atom
data_DyHoV2O8
_chemical_formula_sum 'Dy2 Ho2 V4 O16'
_space_group_name_H-M_alt 'I -4 m 2'
_space_group_IT_number 119
_space_group_name_Hall 'I -4 -2'
_cell_length_a 7.195
_cell_length_b 7.195
_cell_length_c 6.344
_cell_angle_alpha 90.00
_cell_angle_beta 90.00
_cell_angle_gamma 90.00
loop_
_atom_site_label
_atom_site_type_symbol
_atom_site_fract_x
_atom_site_fract_y
_atom_site_fract_z
Dy1 Dy 0.000 0.000 0.000
Ho1 Ho 0.000 0.500 0.750
V1 V 0.000 0.000 0.500
V2 V 0.000 0.500 0.250
O1 O 0.000 0.186 0.676
O2 O 0.000 0.315 0.073

# Dy2HoVO6, optimized geometry, DFT PBE with a Hubbard U
# **Calculated density**: 7.8 Mg/m³
# **DOS(E_F)**: 0.000 states/eV per atom
# **Total DFT energy (no corrections)**: -8.248 eV/atom
data_Dy2HoVO6
_chemical_formula_sum 'Dy6 Ho3 V3 O18'
_space_group_name_H-M_alt 'R 3'
_space_group_IT_number 146
_space_group_name_Hall 'R 3'
_cell_length_a 5.6414
_cell_length_b 5.6414
_cell_length_c 14.7776
_cell_angle_alpha 90.00
_cell_angle_beta 90.00
_cell_angle_gamma 120.00
loop_
_atom_site_label
_atom_site_type_symbol
_atom_site_fract_x
_atom_site_fract_y
_atom_site_fract_z
Dy1 Dy 0.0000 0.0000 0.0000
Dy2 Dy 0.0000 0.0000 0.4942
Ho1 Ho 0.0000 0.0000 0.2772
V1 V 0.0000 0.0000 0.7855
O1 O 0.0120 0.3811 0.0513
O2 O 0.0165 0.7267 0.8798

# Dy2HoWO8, optimized geometry, DFT PBE with a Hubbard U
# **Calculated density**: 7.7 Mg/m³
# **DOS(E_F)**: 0.647 states/eV per atom
# **Total DFT energy (no corrections)**: -7.908 eV/atom
data_Dy2HoWO8
_chemical_formula_sum 'Dy4 Ho2 W2 O16'
_space_group_name_H-M_alt 'C m m m'
_space_group_IT_number 65
_space_group_name_Hall '-C 2 2'
_cell_length_a 7.099
_cell_length_b 7.202
_cell_length_c 6.802
_cell_angle_alpha 90.00
_cell_angle_beta 90.00
_cell_angle_gamma 90.00
loop_
_atom_site_label
_atom_site_type_symbol
_atom_site_fract_x
_atom_site_fract_y
_atom_site_fract_z
Dy1 Dy 0.000 0.000 0.250
Ho1 Ho 0.000 0.500 0.000
W1 W 0.000 0.500 0.500
O1 O 0.000 0.317 0.286
O2 O 0.194 0.000 0.000
O3 O 0.225 0.000 0.500